The following is a SCAN calculation of TiSi3Pt at its PBEsol-relaxed geometry, from Alexandria.

It has space group Pm-3m (No. 221), with a = 4.652 Å, b = 4.652 Å, c = 4.652 Å, α = 90.00°, β = 90.00° and γ = 90.00°. The inequivalent atoms are Ti at (0.000, 0.000, 0.000), Si at (0.000, 0.500, 0.500) and Pt at (0.500, 0.500, 0.500).

The value obtained for the formation energy from raw total energies is 0.72 eV/atom. The volume comes out at 20.136 A^3/atom.

***

The following is a SCAN calculation of CaMgW2S at its PBEsol-relaxed geometry, from Alexandria.

It has space group P4/mmm (No. 123), with a = 4.445 Å, b = 4.445 Å, c = 5.088 Å, α = 90.00°, β = 90.00° and γ = 90.00°. The inequivalent atoms are Ca at (0.000, 0.000, 0.000), Mg at (0.500, 0.500, 0.000), W at (0.000, 0.500, 0.500) and S at (0.000, 0.000, 0.500).

The value obtained for the formation energy from raw total energies is 0.58 eV/atom. The volume comes out at 20.105 A^3/atom.

***

> Among the records above, which one has the highest formation energy from raw total energies?

TiSi3Pt